# 1
## Hf2HPt (PBE)

Data for a geometry-optimized Hf2HPt structure.

The structure in POSCAR format:
```
Hf2HPt
1.0
0.000 3.210 3.210
3.210 0.000 3.210
3.210 3.210 0.000
Hf H Pt
2 1 1
Cartesian
1.605 1.605 1.605
4.815 4.815 4.815
0.000 0.000 0.000
3.210 3.210 3.210
```

Results
ρ = 13.88 Mg/m³
energy above the lowest structure with this stoichiometry = 0.391 eV per atom
Fermi-level density of states = 4.62 states/eV/cell
size of the total moment = 0.00 μB/cell



# 2
## NdDy2Al (PBE)

Data for a geometry-optimized NdDy2Al structure.

The structure in POSCAR format:
```
NdDy2Al
1.0
4.815 0.000 0.000
0.000 4.815 0.000
0.000 0.000 4.792
Nd Dy Al
1 2 1
Cartesian
0.000 0.000 0.000
0.000 2.408 2.396
2.408 0.000 2.396
2.408 2.408 0.000
```

Results
ρ = 7.42 Mg/m³
energy above the lowest structure with this stoichiometry = 0.020 eV per atom
Fermi-level density of states = 5.65 states/eV/cell
size of the total moment = 0.00 μB/cell
formation energy = -0.172 eV per atom



# 3
## AcAg2S3 (PBE)

Data for a geometry-optimized AcAg2S3 structure.

The structure in POSCAR format:
```
AcAg2S3
1.0
4.249 -6.239 0.000
4.249 6.239 0.000
0.000 0.000 5.367
Ac Ag S
2 4 6
Cartesian
4.249 3.368 4.025
4.249 -3.368 1.342
2.529 0.000 0.000
2.529 0.000 2.684
5.970 0.000 0.000
5.970 0.000 2.684
1.643 1.935 4.025
1.643 -1.935 1.342
4.249 1.578 1.342
4.249 -1.578 4.025
6.856 1.935 4.025
6.856 -1.935 1.342
```

Results
formation energy (no corrections) = -0.737 eV/atom
ρ = 6.29 Mg/m³
Fermi-level density of states = 8.78 states/eV/cell
size of the total moment = 0.00 μB/cell



# 4
## Li2LaSc (PBE)

Data for a geometry-optimized Li2LaSc structure.

The structure in POSCAR format:
```
Li2LaSc
1.0
3.601 0.000 0.000
0.000 3.601 0.000
0.000 0.000 7.792
Li La Sc
2 1 1
Cartesian
0.000 0.000 0.000
1.800 1.800 1.392
1.800 1.800 5.517
0.000 0.000 3.238
```

Results
ρ = 3.25 Mg/m³
energy above the lowest structure with this stoichiometry = 0.000 eV per atom
Fermi-level density of states = 4.40 states/eV/cell
size of the total moment = 0.32 μB/cell
formation energy = 0.099 eV per atom



# 5
## La2ReSe (PBE)

Data for a geometry-optimized La2ReSe structure.

The structure in POSCAR format:
```
La2ReSe
1.0
2.434 -2.655 0.000
2.434 2.655 0.000
0.000 0.000 7.744
La Re Se
2 1 1
Cartesian
0.000 0.000 1.834
0.000 0.000 5.911
2.434 0.000 0.000
2.434 0.000 3.872
```

Results
formation energy (no corrections) = -0.494 eV/atom
ρ = 9.01 Mg/m³
Fermi-level density of states = 4.72 states/eV/cell
size of the total moment = 0.00 μB/cell



# 6
## Pm12SmHo6 (PBE)

Data for a geometry-optimized Pm12SmHo6 structure.

The structure in POSCAR format:
```
Pm12SmHo6
1.0
7.401 4.273 3.482
-7.401 4.273 3.482
0.000 -8.546 3.482
Pm Sm Ho
12 1 6
Cartesian
-5.115 1.732 4.327
-4.057 -3.563 6.120
-2.856 -0.819 4.365
1.057 -5.295 4.327
-0.718 -2.883 6.082
2.138 -2.064 4.365
-2.138 2.064 6.082
0.718 2.883 4.365
-1.057 5.295 6.120
2.856 0.819 6.082
4.057 3.563 4.327
5.115 -1.732 6.120
0.000 0.000 0.000
-0.847 -2.778 2.517
-1.982 2.122 2.517
2.829 0.655 2.517
-2.829 -0.655 7.930
1.982 -2.122 7.930
0.847 2.778 7.930
```

Results
ρ = 7.24 Mg/m³
energy above the lowest structure with this stoichiometry = 0.101 eV per atom
Fermi-level density of states = 28.30 states/eV/cell
size of the total moment = 0.00 μB/cell
formation energy = 0.237 eV per atom



# 7
## ZnCr3I (PBE)

Data for a geometry-optimized ZnCr3I structure.

The structure in POSCAR format:
```
ZnCr3I
1.0
4.896 0.000 0.000
0.000 4.896 0.000
0.000 0.000 4.896
Zn Cr I
1 3 1
Cartesian
0.000 0.000 0.000
0.000 0.000 2.448
0.000 2.448 0.000
2.448 0.000 0.000
2.448 2.448 2.448
```

Results
formation energy (no corrections) = 1.124 eV/atom
ρ = 4.93 Mg/m³
energy above the lowest structure with this stoichiometry = 0.000 eV per atom
Fermi-level density of states = 3.37 states/eV/cell
size of the total moment = 12.97 μB/cell



# 8
## La2PdF2 (PBE)

Data for a geometry-optimized La2PdF2 structure.

The structure in POSCAR format:
```
La2PdF2
1.0
-1.906 1.906 7.013
1.906 -1.906 7.013
1.906 1.906 -7.013
La Pd F
2 1 2
Cartesian
0.000 0.000 1.804
0.000 0.000 12.222
0.000 0.000 7.013
1.906 0.000 3.507
0.000 1.906 3.507
```

Results
formation energy (no corrections) = -2.425 eV/atom
ρ = 6.88 Mg/m³
Fermi-level density of states = 5.02 states/eV/cell
size of the total moment = 0.00 μB/cell



# 9
## KCdCu (PBE)

Data for a geometry-optimized KCdCu structure.

The structure in POSCAR format:
```
KCdCu
1.0
4.308 0.000 0.000
-0.005 6.475 0.000
-2.127 -2.796 6.294
K Cd Cu
2 2 2
Cartesian
0.004 1.163 1.510
2.172 2.515 4.784
0.023 -0.400 5.070
2.154 4.078 1.224
0.010 4.625 2.775
2.167 -0.947 3.519
```

Results
ρ = 4.07 Mg/m³
energy above the lowest structure with this stoichiometry = 0.000 eV per atom
Fermi-level density of states = 2.08 states/eV/cell
size of the total moment = 0.00 μB/cell
formation energy = 0.070 eV per atom



# 10
## Ac2ErPd2O6 (PBE)

Data for a geometry-optimized Ac2ErPd2O6 structure.

The structure in POSCAR format:
```
Ac2ErPd2O6
1.0
3.106 1.793 5.548
-3.106 1.793 5.548
0.000 -3.586 5.548
Ac Er Pd O
2 1 2 6
Cartesian
0.000 0.000 3.505
0.000 0.000 13.138
0.000 0.000 0.000
0.000 0.000 6.808
0.000 0.000 9.834
-1.755 -1.013 9.499
0.000 -2.026 7.144
-1.755 1.013 7.144
1.755 -1.013 9.499
0.000 2.026 9.499
1.755 1.013 7.144
```

Results
formation energy (no corrections) = -1.988 eV/atom
ρ = 8.33 Mg/m³
Fermi-level density of states = 6.01 states/eV/cell
size of the total moment = 3.01 μB/cell



# 11
## Al3Ru4 (PBE)

Data for a geometry-optimized Al3Ru4 structure.

The structure in POSCAR format:
```
Al3Ru4
1.0
5.004 0.000 0.000
-2.502 4.334 0.000
0.000 0.000 4.626
Al Ru
3 4
Cartesian
-1.251 2.167 0.000
2.502 0.000 0.000
1.251 2.167 0.000
0.000 0.000 1.169
0.000 0.000 3.457
0.000 2.889 2.313
2.502 1.445 2.313
```

Results
ρ = 8.03 Mg/m³
energy above the lowest structure with this stoichiometry = 0.321 eV per atom
Fermi-level density of states = 7.56 states/eV/cell
size of the total moment = 0.00 μB/cell
formation energy = -0.011 eV per atom



# 12
## Er6AlOs2 (PBE)

Data for a geometry-optimized Er6AlOs2 structure.

The structure in POSCAR format:
```
Er6AlOs2
1.0
-4.607 4.660 5.210
4.607 -4.660 5.210
4.607 4.660 -5.210
Er Al Os
12 2 4
Cartesian
4.607 -2.923 3.468
2.762 0.000 2.546
6.453 0.000 2.546
2.922 2.628 0.000
6.292 2.628 0.000
0.000 1.737 1.742
4.607 2.923 3.468
-1.685 2.031 5.210
1.685 2.031 5.210
-1.846 4.660 2.664
1.846 4.660 2.664
0.000 7.583 1.742
4.607 0.000 0.000
0.000 4.660 0.000
1.696 0.000 0.000
7.518 0.000 0.000
0.000 0.000 3.913
0.000 0.000 6.507
```

Results
ρ = 10.47 Mg/m³
Fermi-level density of states = 16.55 states/eV/cell
size of the total moment = 0.00 μB/cell
formation energy = -0.312 eV per atom



# 13
## TiZn4Ag3 (PBE)

Data for a geometry-optimized TiZn4Ag3 structure.

The structure in POSCAR format:
```
TiZn4Ag3
1.0
2.934 0.000 0.000
0.000 2.934 0.000
0.000 0.000 14.913
Ti Zn Ag
1 4 3
Cartesian
0.000 0.000 0.000
1.467 1.467 1.838
1.467 1.467 5.567
1.467 1.467 9.347
1.467 1.467 13.076
0.000 0.000 3.699
0.000 0.000 7.457
0.000 0.000 11.215
```

Results
ρ = 8.19 Mg/m³
Fermi-level density of states = 4.14 states/eV/cell
size of the total moment = 0.00 μB/cell
formation energy = -0.078 eV per atom



# 14
## RbFeCuAu2 (PBE)

Data for a geometry-optimized RbFeCuAu2 structure.

The structure in POSCAR format:
```
RbFeCuAu2
1.0
5.673 0.000 0.000
0.000 5.673 0.000
0.000 0.000 4.731
Rb Fe Cu Au
1 1 1 2
Cartesian
0.000 0.000 0.000
0.000 0.000 2.366
2.836 2.836 2.366
0.000 2.836 0.000
2.836 0.000 0.000
```

Results
ρ = 6.53 Mg/m³
Fermi-level density of states = 8.14 states/eV/cell
size of the total moment = 0.05 μB/cell
formation energy = 2.234 eV per atom



# 15
## H5Rh2 (PBE)

Data for a geometry-optimized H5Rh2 structure.

The structure in POSCAR format:
```
H5Rh2
1.0
5.513 -2.142 0.000
5.513 2.142 0.000
-0.004 0.000 4.250
H Rh
10 4
Cartesian
1.085 0.237 4.007
1.087 -0.237 1.882
5.510 1.074 3.188
4.425 0.226 1.898
4.423 -0.226 4.023
6.598 0.226 0.227
6.597 -0.226 2.352
5.512 -1.074 1.063
9.934 0.237 2.368
9.936 -0.237 0.243
3.735 1.072 3.190
7.285 1.072 3.185
3.737 -1.072 1.065
7.287 -1.072 1.060
```

Results
ρ = 6.98 Mg/m³
Fermi-level density of states = 3.80 states/eV/cell
raw total energy = -4.43 eV per atom
size of the total moment = 0.00 μB/cell



# 16
## TiReHRu2 (PBE)

Data for a geometry-optimized TiReHRu2 structure.

The structure in POSCAR format:
```
TiReHRu2
1.0
3.917 0.000 0.000
0.000 3.917 0.000
0.000 0.000 3.921
Ti Re H Ru
1 1 1 2
Cartesian
0.000 0.000 0.000
1.959 1.959 0.000
0.000 0.000 1.961
0.000 1.959 1.961
1.959 0.000 1.961
```

Results
ρ = 12.07 Mg/m³
energy above the lowest structure with this stoichiometry = 0.000 eV per atom
Fermi-level density of states = 6.17 states/eV/cell
size of the total moment = 0.00 μB/cell



# 17
## ZnTe2Au2 (PBE)

Data for a geometry-optimized ZnTe2Au2 structure.

The structure in POSCAR format:
```
ZnTe2Au2
1.0
7.421 0.000 0.000
0.000 7.421 0.000
0.000 0.000 4.158
Zn Te Au
2 4 4
Cartesian
0.000 0.000 0.000
3.711 3.711 0.000
1.356 2.354 2.079
2.354 6.065 2.079
5.067 1.356 2.079
6.065 5.067 2.079
1.003 4.714 0.000
2.708 1.003 0.000
4.714 6.419 0.000
6.419 2.708 0.000
```

Results
formation energy (no corrections) = 0.166 eV/atom
ρ = 10.36 Mg/m³
energy above the lowest structure with this stoichiometry = 0.078 eV per atom
Fermi-level density of states = 5.29 states/eV/cell
size of the total moment = 0.00 μB/cell



# 18
## BaYRu2 (PBE)

Data for a geometry-optimized BaYRu2 structure.

The structure in POSCAR format:
```
BaYRu2
1.0
3.180 0.000 0.000
0.000 3.746 0.000
0.000 0.000 8.692
Ba Y Ru
1 1 2
Cartesian
0.000 0.000 0.000
1.590 1.873 5.135
0.000 0.000 3.335
1.590 1.873 2.438
```

Results
ρ = 6.87 Mg/m³
Fermi-level density of states = 4.35 states/eV/cell
size of the total moment = 0.00 μB/cell
formation energy = 0.315 eV per atom



# 19
## TaMnSe (PBE)

Data for a geometry-optimized TaMnSe structure.

The structure in POSCAR format:
```
TaMnSe
1.0
1.779 1.027 10.705
-1.779 1.027 10.705
0.000 -2.054 10.705
Ta Mn Se
2 2 2
Cartesian
0.000 0.000 1.882
0.000 0.000 30.233
0.000 0.000 10.949
0.000 0.000 21.166
0.000 0.000 7.127
0.000 0.000 24.988
```

Results
formation energy (no corrections) = -0.259 eV/atom
ρ = 8.91 Mg/m³
energy above the lowest structure with this stoichiometry = 0.000 eV per atom
Fermi-level density of states = 3.40 states/eV/cell
size of the total moment = 0.00 μB/cell



# 20
## ScMn2Ge4 (PBE)

Data for a geometry-optimized ScMn2Ge4 structure.

The structure in POSCAR format:
```
ScMn2Ge4
1.0
-2.466 2.466 6.350
2.466 -2.466 6.350
2.466 2.466 -6.350
Sc Mn Ge
1 2 4
Cartesian
0.000 0.000 0.000
0.000 0.000 5.097
0.000 0.000 7.602
2.466 0.000 0.000
0.000 0.000 2.650
0.000 2.466 0.000
0.000 0.000 10.049
```

Results
ρ = 4.79 Mg/m³
Fermi-level density of states = 4.56 states/eV/cell
size of the total moment = 6.45 μB/cell
formation energy = 0.473 eV per atom



# 21
## Ag2BiBr4 (PBE)

Data for a geometry-optimized Ag2BiBr4 structure.

The structure in POSCAR format:
```
Ag2BiBr4
1.0
-4.040 4.040 3.757
4.040 -4.040 3.757
4.040 4.040 -3.757
Ag Bi Br
2 1 4
Cartesian
4.040 0.000 1.879
0.000 4.040 1.879
0.000 0.000 0.000
2.568 1.366 0.000
2.674 -1.471 3.757
1.366 5.511 0.000
1.471 2.674 3.757
```

Results
formation energy (no corrections) = -0.365 eV/atom
ρ = 5.04 Mg/m³
size of the total moment = 1.00 μB/cell



# 22
## ScCuMo2 (PBE)

Data for a geometry-optimized ScCuMo2 structure.

The structure in POSCAR format:
```
ScCuMo2
1.0
2.688 -4.675 0.000
2.688 4.675 0.000
-0.856 0.000 2.567
Sc Cu Mo
1 1 2
Cartesian
0.000 0.000 0.000
2.688 0.000 0.000
0.916 2.337 1.284
0.916 -2.337 1.284
```

Results
ρ = 7.73 Mg/m³
energy above the lowest structure with this stoichiometry = 0.179 eV per atom
Fermi-level density of states = 4.91 states/eV/cell
size of the total moment = 0.00 μB/cell
formation energy = 0.219 eV per atom



# 23
## Sn3B (PBE)

Data for a geometry-optimized Sn3B structure.

The structure in POSCAR format:
```
Sn3B
1.0
-2.180 2.180 4.859
2.180 -2.180 4.859
2.180 2.180 -4.859
Sn B
3 1
Cartesian
0.000 0.000 0.000
2.180 0.000 2.430
0.000 2.180 2.430
0.000 0.000 4.859
```

Results
ρ = 6.60 Mg/m³
energy above the lowest structure with this stoichiometry = 0.000 eV per atom
Fermi-level density of states = 1.98 states/eV/cell
size of the total moment = 0.00 μB/cell
formation energy = 0.930 eV per atom



# 24
## YBe2GaP (PBE)

Data for a geometry-optimized YBe2GaP structure.

The structure in POSCAR format:
```
YBe2GaP
1.0
4.179 0.000 0.000
0.000 4.179 0.000
0.000 0.000 5.118
Y Be Ga P
1 2 1 1
Cartesian
0.000 0.000 0.000
0.000 2.089 2.559
2.089 0.000 2.559
2.089 2.089 0.000
2.089 2.089 2.559
```

Results
ρ = 3.86 Mg/m³
Fermi-level density of states = 2.67 states/eV/cell
size of the total moment = 0.00 μB/cell
formation energy = 0.277 eV per atom



# 25
## AlSi3Pd (PBE)

Data for a geometry-optimized AlSi3Pd structure.

The structure in POSCAR format:
```
AlSi3Pd
1.0
4.702 0.000 0.000
0.000 4.702 0.000
0.000 0.000 4.702
Al Si Pd
1 3 1
Cartesian
0.000 0.000 0.000
0.000 2.351 2.351
2.351 0.000 2.351
2.351 2.351 0.000
2.351 2.351 2.351
```

Results
formation energy (no corrections) = 0.657 eV/atom
ρ = 3.48 Mg/m³
energy above the lowest structure with this stoichiometry = 0.000 eV per atom
Fermi-level density of states = 4.25 states/eV/cell
size of the total moment = 0.00 μB/cell